The following is a DFT calculation (PBE) of crystalline Re5Rh3 at its relaxed geometry.

Unit cell a=4.7644 b=4.7644 c=7.7405 alpha=65.23 beta=65.23 gamma=48.75
Element x y z (fractional)
Re: 0.0104 0.0104 0.7437
Re: 0.7494 0.7494 0.6317
Re: 0.2506 0.2506 0.3683
Re: 0.9896 0.9896 0.2563
Re: 0.5000 0.5000 0.0000
Rh: 0.5000 0.5000 0.5000
Rh: 0.7491 0.7491 0.1236
Rh: 0.2509 0.2509 0.8764

Computed properties:
Formation enthalpy at 0 K in eV per formula unit: -0.28
M_tot in μB per atom: 0.000
Distance to the lowest polymorph of the same formula in meV/atom: 106.3
Crystal system: monoclinic